This record from Alexandria via LeMat-Bulk describes an optimized crystal structure of MnOsBr2. The functional is PBE.

Cell and atoms, written as CIF:
```
data_MnOsBr2
_chemical_formula_sum 'Mn2 Os2 Br4'
_symmetry_space_group_name_H-M 'C m m m'
_symmetry_Int_Tables_number 65
_symmetry_space_group_name_Hall '-C 2 2'
_cell_length_a 3.076
_cell_length_b 5.808
_cell_length_c 8.969
_cell_angle_alpha 90.00
_cell_angle_beta 90.00
_cell_angle_gamma 90.00
loop_
_atom_site_label
_atom_site_fract_x
_atom_site_fract_y
_atom_site_fract_z
_atom_site_occupancy
Mn1 0.000 0.000 0.000 1
Os1 0.000 0.000 0.500 1
Br1 0.000 0.500 0.272 1
```

Properties
Formation energy from raw total energies in meV per atom: 1029
Calculated volume in Å³ per cell: 160.2
DFT total energy in eV/atom: -4.91
Calculated density in g/cm3: 8.4